A.
# Pm3DyCo

Crystalline Pm3DyCo at its relaxed geometry (PBE-GGA, Alexandria).

a = 5.3999 Å, b = 5.3999 Å, c = 5.3999 Å
α = 90.00°, β = 90.00°, γ = 90.00°
Fractional positions:
Pm1 0.0000 0.0000 0.5000
Pm2 0.0000 0.5000 0.0000
Pm3 0.5000 0.0000 0.0000
Dy1 0.5000 0.5000 0.5000
Co1 0.0000 0.0000 0.0000

## Properties
Spin magnetization   0.9 Bohr magnetons per cell
SG   Pm-3m (221)
V   157.5 Å³ per cell



B.
# Pm3DyCo

Crystalline Pm3DyCo at its relaxed geometry (PBE-GGA, Alexandria).

a = 7.2616 Å, b = 7.2616 Å, c = 8.3297 Å
α = 124.69°, β = 124.69°, γ = 71.82°
Fractional positions:
Pm1 0.0461 0.0461 0.3376
Pm2 0.0474 0.4548 0.2100
Pm3 0.4548 0.0474 0.2100
Pm4 0.5452 0.9526 0.7900
Pm5 0.9526 0.5452 0.7900
Pm6 0.9539 0.9539 0.6624
Dy1 0.4551 0.4551 0.7527
Dy2 0.5449 0.5449 0.2473
Co1 0.2516 0.2516 0.8669
Co2 0.7484 0.7484 0.1331

## Properties
Spin magnetization   0.0 Bohr magnetons per cell
SG   C2/m (12)
V   296.9 Å³ per cell



C.
# Pm3DyCo

Crystalline Pm3DyCo at its relaxed geometry (PBE-GGA, Alexandria).

a = 7.3451 Å, b = 7.3451 Å, c = 7.3451 Å
α = 101.45°, β = 118.97°, γ = 108.49°
Fractional positions:
Pm1 0.2497 0.0361 0.2857
Pm2 0.2497 0.4639 0.7136
Pm3 0.7280 0.9996 0.2284
Pm4 0.7503 0.5361 0.2864
Pm5 0.7503 0.9639 0.7143
Pm6 0.7711 0.4996 0.7716
Dy1 0.2196 0.5004 0.2192
Dy2 0.2812 0.0004 0.7808
Co1 0.2489 0.7500 0.9989
Co2 0.7511 0.2500 0.0011

## Properties
Spin magnetization   0.0 Bohr magnetons per cell
SG   Ima2 (46)
V   297.7 Å³ per cell



It comes down to B, which is 49 meV per atom more stable than the next structure.



A.
# Pm2DyCo

Crystalline Pm2DyCo at its relaxed geometry (PBE-GGA, Alexandria).

a = 9.4152 Å, b = 9.4152 Å, c = 9.4152 Å
α = 23.38°, β = 23.38°, γ = 23.38°
Fractional positions:
Pm1 0.0000 0.0000 0.0000
Pm2 0.2168 0.2168 0.2168
Dy1 0.7742 0.7742 0.7742
Co1 0.6087 0.6087 0.6087

## Properties
Spin magnetization   0.2 Bohr magnetons per cell
SG   R3m (160)
V   115.4 Å³ per cell



B.
# Pm2DyCo

Crystalline Pm2DyCo at its relaxed geometry (PBE-GGA, Alexandria).

a = 5.2894 Å, b = 5.2894 Å, c = 5.2894 Å
α = 60.00°, β = 60.00°, γ = 60.00°
Fractional positions:
Pm1 0.2500 0.2500 0.2500
Pm2 0.7500 0.7500 0.7500
Dy1 0.0000 0.0000 0.0000
Co1 0.5000 0.5000 0.5000

## Properties
Spin magnetization   1.3 Bohr magnetons per cell
SG   Fm-3m (225)
V   104.6 Å³ per cell



C.
# Pm2DyCo

Crystalline Pm2DyCo at its relaxed geometry (PBE-GGA, Alexandria).

a = 6.5575 Å, b = 6.2799 Å, c = 11.3175 Å
α = 90.00°, β = 90.00°, γ = 90.00°
Fractional positions:
Pm1 0.0883 0.2468 0.0858
Pm2 0.0883 0.2532 0.4142
Pm3 0.4117 0.7468 0.4142
Pm4 0.4117 0.7532 0.0858
Pm5 0.5883 0.2468 0.9142
Pm6 0.5883 0.2532 0.5858
Pm7 0.9117 0.7468 0.5858
Pm8 0.9117 0.7532 0.9142
Dy1 0.0807 0.2500 0.7500
Dy2 0.4193 0.7500 0.7500
Dy3 0.5807 0.2500 0.2500
Dy4 0.9193 0.7500 0.2500
Co1 0.2500 0.0000 0.9112
Co2 0.2500 0.5000 0.5888
Co3 0.7500 0.0000 0.0888
Co4 0.7500 0.5000 0.4112

## Properties
Spin magnetization   0.0 Bohr magnetons per cell
SG   Pnna (52)
V   466.1 Å³ per cell



D.
# Pm2DyCo

Crystalline Pm2DyCo at its relaxed geometry (PBE-GGA, Alexandria).

a = 3.5042 Å, b = 3.5042 Å, c = 8.8589 Å
α = 90.00°, β = 90.00°, γ = 90.00°
Fractional positions:
Pm1 0.0000 0.0000 0.1890
Pm2 0.0000 0.0000 0.8110
Dy1 0.5000 0.5000 0.5000
Co1 0.5000 0.5000 0.0000

## Properties
Spin magnetization   1.5 Bohr magnetons per cell
SG   P4/mmm (123)
V   108.8 Å³ per cell



It comes down to C, which is 105 meV per atom more stable than the next structure.



A.
# PmDy2Co2

Crystalline PmDy2Co2 at its relaxed geometry (PBE-GGA, Alexandria).

a = 7.5934 Å, b = 7.5934 Å, c = 4.0068 Å
α = 90.00°, β = 90.00°, γ = 150.18°
Fractional positions:
Pm1 0.0000 0.0000 0.0000
Dy1 0.3488 0.6512 0.5000
Dy2 0.6512 0.3488 0.5000
Co1 0.2081 0.7919 0.0000
Co2 0.7919 0.2081 0.0000

## Properties
Spin magnetization   0.8 Bohr magnetons per cell
SG   Cmmm (65)
V   114.9 Å³ per cell



B.
# PmDy2Co2

Crystalline PmDy2Co2 at its relaxed geometry (PBE-GGA, Alexandria).

a = 6.0119 Å, b = 6.0119 Å, c = 5.5321 Å
α = 103.38°, β = 103.38°, γ = 36.42°
Fractional positions:
Pm1 0.0000 0.0000 0.0000
Dy1 0.3506 0.3506 0.4172
Dy2 0.6494 0.6494 0.5828
Co1 0.2797 0.2797 0.8956
Co2 0.7203 0.7203 0.1044

## Properties
Spin magnetization   0.0 Bohr magnetons per cell
SG   C2/m (12)
V   115.1 Å³ per cell



It comes down to A, which is 74 meV per atom more stable than the next structure.



A.
# PmDyCo2

Crystalline PmDyCo2 at its relaxed geometry (PBE-GGA, Alexandria).

a = 3.8991 Å, b = 5.6190 Å, c = 5.6190 Å
α = 42.09°, β = 90.00°, γ = 90.00°
Fractional positions:
Pm1 0.0000 0.0000 0.0000
Dy1 0.5000 0.2866 0.2866
Co1 0.0000 0.7082 0.7082
Co2 0.5000 0.5928 0.5928

## Properties
Spin magnetization   0.2 Bohr magnetons per cell
SG   Amm2 (38)
V   82.5 Å³ per cell



B.
# PmDyCo2

Crystalline PmDyCo2 at its relaxed geometry (PBE-GGA, Alexandria).

a = 3.8813 Å, b = 5.6405 Å, c = 7.5931 Å
α = 90.00°, β = 90.00°, γ = 90.00°
Fractional positions:
Pm1 0.0000 0.1324 0.0000
Pm2 0.0000 0.8676 0.5000
Dy1 0.5000 0.3687 0.3564
Dy2 0.5000 0.6313 0.8564
Co1 0.0000 0.3581 0.6474
Co2 0.0000 0.6419 0.1474
Co3 0.5000 0.1639 0.7028
Co4 0.5000 0.8361 0.2028

## Properties
Spin magnetization   0.6 Bohr magnetons per cell
SG   Pmc2_1 (26)
V   166.2 Å³ per cell



It comes down to A, which is 5 meV per atom more stable than the next structure.



A.
# PmDyZnCo

Crystalline PmDyZnCo at its relaxed geometry (PBE-GGA, Alexandria).

a = 4.2972 Å, b = 5.6615 Å, c = 5.6615 Å
α = 40.48°, β = 90.00°, γ = 90.00°
Fractional positions:
Pm1 0.0000 0.0000 0.0000
Dy1 0.5000 0.7183 0.7183
Zn1 0.5000 0.4214 0.4214
Co1 0.0000 0.2933 0.2933

## Properties
Spin magnetization   0.0 Bohr magnetons per cell
SG   Amm2 (38)
V   89.4 Å³ per cell



B.
# PmDyZnCo

Crystalline PmDyZnCo at its relaxed geometry (PBE-GGA, Alexandria).

a = 4.9412 Å, b = 4.9412 Å, c = 4.9412 Å
α = 60.00°, β = 60.00°, γ = 60.00°
Fractional positions:
Pm1 0.0000 0.0000 0.0000
Dy1 0.5000 0.5000 0.5000
Zn1 0.7500 0.7500 0.7500
Co1 0.2500 0.2500 0.2500

## Properties
Spin magnetization   0.0 Bohr magnetons per cell
SG   F-43m (216)
V   85.3 Å³ per cell



It comes down to A, which is 17 meV per atom more stable than the next structure.



A.
# PrDyCo

Crystalline PrDyCo at its relaxed geometry (PBE-GGA, Alexandria).

a = 6.2356 Å, b = 3.7456 Å, c = 6.9150 Å
α = 90.00°, β = 91.26°, γ = 90.00°
Fractional positions:
Pr1 0.1415 0.2500 0.3110
Pr2 0.8585 0.7500 0.6890
Dy1 0.3486 0.2500 0.8096
Dy2 0.6514 0.7500 0.1904
Co1 0.3898 0.7500 0.5301
Co2 0.6102 0.2500 0.4699

## Properties
Spin magnetization   0.0 Bohr magnetons per cell
SG   P2_1/m (11)
V   161.5 Å³ per cell



B.
# PrDyCo

Crystalline PrDyCo at its relaxed geometry (PBE-GGA, Alexandria).

a = 3.9654 Å, b = 3.9654 Å, c = 6.2525 Å
α = 90.00°, β = 90.00°, γ = 120.00°
Fractional positions:
Pr1 0.0000 0.0000 0.0000
Dy1 0.3333 0.6667 0.5366
Co1 0.6667 0.3333 0.7588

## Properties
Spin magnetization   0.0 Bohr magnetons per cell
SG   P3m1 (156)
V   85.1 Å³ per cell



C.
# PrDyCo

Crystalline PrDyCo at its relaxed geometry (PBE-GGA, Alexandria).

a = 4.7817 Å, b = 4.7817 Å, c = 4.7817 Å
α = 60.00°, β = 60.00°, γ = 60.00°
Fractional positions:
Pr1 0.0000 0.0000 0.0000
Dy1 0.5000 0.5000 0.5000
Co1 0.2500 0.2500 0.2500

## Properties
Spin magnetization   0.0 Bohr magnetons per cell
SG   F-43m (216)
V   77.3 Å³ per cell



D.
# PrDyCo

Crystalline PrDyCo at its relaxed geometry (PBE-GGA, Alexandria).

a = 6.0695 Å, b = 6.0695 Å, c = 8.6263 Å
α = 124.51°, β = 124.51°, γ = 36.54°
Fractional positions:
Pr1 0.1851 0.1851 0.1041
Pr2 0.8149 0.8149 0.8959
Dy1 0.4201 0.4201 0.6271
Dy2 0.5799 0.5799 0.3729
Co1 0.1219 0.1219 0.6334
Co2 0.8781 0.8781 0.3666

## Properties
Spin magnetization   0.0 Bohr magnetons per cell
SG   C2/m (12)
V   151.8 Å³ per cell



It comes down to D, which is 40 meV per atom more stable than the next structure.



A.
# Pr2DyCo

Crystalline Pr2DyCo at its relaxed geometry (PBE-GGA, Alexandria).

a = 3.5595 Å, b = 3.5595 Å, c = 8.8800 Å
α = 90.00°, β = 90.00°, γ = 90.00°
Fractional positions:
Pr1 0.0000 0.0000 0.1933
Pr2 0.0000 0.0000 0.8067
Dy1 0.5000 0.5000 0.5000
Co1 0.5000 0.5000 0.0000

## Properties
Spin magnetization   1.9 Bohr magnetons per cell
SG   P4/mmm (123)
V   112.5 Å³ per cell



B.
# Pr2DyCo

Crystalline Pr2DyCo at its relaxed geometry (PBE-GGA, Alexandria).

a = 7.1007 Å, b = 9.9783 Å, c = 6.3112 Å
α = 90.00°, β = 90.00°, γ = 90.00°
Fractional positions:
Pr1 0.1750 0.0707 0.1755
Pr2 0.1750 0.4293 0.1755
Pr3 0.3250 0.5707 0.6755
Pr4 0.3250 0.9293 0.6755
Pr5 0.6750 0.0707 0.3245
Pr6 0.6750 0.4293 0.3245
Pr7 0.8250 0.5707 0.8245
Pr8 0.8250 0.9293 0.8245
Dy1 0.0446 0.2500 0.6577
Dy2 0.4554 0.7500 0.1577
Dy3 0.5446 0.2500 0.8423
Dy4 0.9554 0.7500 0.3423
Co1 0.1178 0.7500 0.9519
Co2 0.3822 0.2500 0.4519
Co3 0.6178 0.7500 0.5481
Co4 0.8822 0.2500 0.0481

## Properties
Spin magnetization   0.0 Bohr magnetons per cell
SG   Pnma (62)
V   447.2 Å³ per cell



It comes down to B, which is 173 meV per atom more stable than the next structure.



A.
# DyPu2Co

Crystalline DyPu2Co at its relaxed geometry (PBE-GGA, Alexandria).

a = 3.3858 Å, b = 3.3858 Å, c = 8.2223 Å
α = 90.00°, β = 90.00°, γ = 90.00°
Fractional positions:
Dy1 0.0000 0.0000 0.0000
Pu1 0.5000 0.5000 0.3114
Pu2 0.5000 0.5000 0.6886
Co1 0.0000 0.0000 0.5000

## Properties
Spin magnetization   10.6 Bohr magnetons per cell
SG   P4/mmm (123)
V   94.3 Å³ per cell



B.
# DyPu2Co

Crystalline DyPu2Co at its relaxed geometry (PBE-GGA, Alexandria).

a = 9.9515 Å, b = 9.9515 Å, c = 9.9515 Å
α = 20.18°, β = 20.18°, γ = 20.18°
Fractional positions:
Dy1 0.0000 0.0000 0.0000
Pu1 0.1084 0.1084 0.1084
Pu2 0.8916 0.8916 0.8916
Co1 0.5000 0.5000 0.5000

## Properties
Spin magnetization   10.9 Bohr magnetons per cell
SG   R-3m (166)
V   102.6 Å³ per cell



It comes down to A, which is 194 meV per atom more stable than the next structure.



A.
# Dy3CoRh

Crystalline Dy3CoRh at its relaxed geometry (PBE-GGA, Alexandria).

a = 7.5469 Å, b = 3.9049 Å, c = 8.1514 Å
α = 90.00°, β = 109.33°, γ = 90.00°
Fractional positions:
Dy1 0.0898 0.2500 0.2357
Dy2 0.3091 0.2500 0.9266
Dy3 0.3590 0.7500 0.5970
Dy4 0.6410 0.2500 0.4030
Dy5 0.6909 0.7500 0.0734
Dy6 0.9102 0.7500 0.7643
Co1 0.0516 0.2500 0.5756
Co2 0.9484 0.7500 0.4244
Rh1 0.3615 0.7500 0.1964
Rh2 0.6385 0.2500 0.8036

## Properties
Spin magnetization   0.0 Bohr magnetons per cell
SG   P2_1/m (11)
V   226.7 Å³ per cell



B.
# Dy3CoRh

Crystalline Dy3CoRh at its relaxed geometry (PBE-GGA, Alexandria).

a = 3.9563 Å, b = 7.5211 Å, c = 7.9539 Å
α = 87.16°, β = 89.99°, γ = 74.81°
Fractional positions:
Dy1 0.0552 0.3903 0.3217
Dy2 0.2368 0.0262 0.6832
Dy3 0.3849 0.7285 0.0535
Dy4 0.6151 0.2715 0.9465
Dy5 0.7632 0.9738 0.3168
Dy6 0.9448 0.6097 0.6783
Co1 0.2043 0.0926 0.0905
Co2 0.7957 0.9074 0.9095
Rh1 0.4023 0.6951 0.4258
Rh2 0.5977 0.3049 0.5742

## Properties
Spin magnetization   0.0 Bohr magnetons per cell
SG   P-1 (2)
V   228.1 Å³ per cell



It comes down to A, which is 33 meV per atom more stable than the next structure.



A.
# Dy4CoSb

Crystalline Dy4CoSb at its relaxed geometry (PBE-GGA, Alexandria).

a = 6.0707 Å, b = 6.6084 Å, c = 8.0137 Å
α = 90.00°, β = 93.49°, γ = 90.00°
Fractional positions:
Dy1 0.0944 0.2500 0.0861
Dy2 0.1527 0.7500 0.3727
Dy3 0.3974 0.0000 0.7947
Dy4 0.3974 0.5000 0.7947
Dy5 0.6026 0.0000 0.2053
Dy6 0.6026 0.5000 0.2053
Dy7 0.8473 0.2500 0.6273
Dy8 0.9056 0.7500 0.9139
Co1 0.3024 0.7500 0.0620
Co2 0.6976 0.2500 0.9380
Sb1 0.3042 0.2500 0.4537
Sb2 0.6958 0.7500 0.5463

## Properties
Spin magnetization   0.0 Bohr magnetons per cell
SG   P2_1/m (11)
V   320.9 Å³ per cell



B.
# Dy4CoSb

Crystalline Dy4CoSb at its relaxed geometry (PBE-GGA, Alexandria).

a = 8.1850 Å, b = 8.1850 Å, c = 7.1656 Å
α = 106.74°, β = 106.74°, γ = 47.06°
Fractional positions:
Dy1 0.0054 0.1838 0.4692
Dy2 0.1838 0.0054 0.9692
Dy3 0.2552 0.3985 0.8476
Dy4 0.3985 0.2552 0.3476
Dy5 0.6015 0.7448 0.6524
Dy6 0.7448 0.6015 0.1524
Dy7 0.8162 0.9946 0.0308
Dy8 0.9946 0.8162 0.5308
Co1 0.0000 0.5000 0.5000
Co2 0.5000 0.0000 0.0000
Sb1 0.3398 0.6602 0.2500
Sb2 0.6602 0.3398 0.7500

## Properties
Spin magnetization   0.0 Bohr magnetons per cell
SG   C2/c (15)
V   333.7 Å³ per cell



It comes down to A, which is 99 meV per atom more stable than the next structure.